[1]
TaPb2S4 | GGA-PBE | relaxed

volume = 26.64 Å³ per atom
uncorrected formation energy = -0.547 eV/atom

```
data_TaPb2S4
_cell_length_a 7.594
_cell_length_b 6.530
_cell_length_c 7.718
_cell_angle_alpha 90.00
_cell_angle_beta 103.00
_cell_angle_gamma 90.00
_symmetry_space_group_name_H-M 'P 1 21/m 1'
_symmetry_Int_Tables_number 11
loop_
_symmetry_equiv_pos_as_xyz
'x,y,z'
'-x,-y,-z'
'-x,y+1/2,-z'
'x,-y+1/2,z'
loop_
_atom_site_label
_atom_site_type_symbol
_atom_site_fract_x
_atom_site_fract_y
_atom_site_fract_z
Ta1 Ta 0.223 0.250 0.306
Pb1 Pb 0.231 0.750 0.051
Pb2 Pb 0.279 0.750 0.573
S1 S 0.000 0.001 0.242
S2 S 0.385 0.250 0.593
S3 S 0.407 0.250 0.108
```


[2]
NdPa2Si | GGA-PBE | relaxed

volume = 25.17 Å³ per atom
uncorrected formation energy = 0.225 eV/atom
ΔE to the lowest computed polymorph = 312 meV per atom

```
data_NdPa2Si
_cell_length_a 3.1970
_cell_length_b 3.1970
_cell_length_c 34.1260
_cell_angle_alpha 90.00
_cell_angle_beta 90.00
_cell_angle_gamma 120.00
_symmetry_space_group_name_H-M 'R -3 m'
_symmetry_Int_Tables_number 166
_symmetry_space_group_name_Hall '-R 3 2"'
loop_
_atom_site_label
_atom_site_type_symbol
_atom_site_fract_x
_atom_site_fract_y
_atom_site_fract_z
Nd1 Nd 0.0000 0.0000 0.0000
Pa1 Pa 0.0000 0.0000 0.0982
Si1 Si 0.0000 0.0000 0.5000
```


[3]
Zn3HgP | GGA-PBE | relaxed

formation energy from the elements = 253 meV/atom
volume = 21.98 Å³ per atom
ΔE to the lowest computed polymorph = 0 meV per atom

```
data_Zn3HgP
_cell_length_a 4.790
_cell_length_b 4.790
_cell_length_c 4.790
_cell_angle_alpha 90.00
_cell_angle_beta 90.00
_cell_angle_gamma 90.00
_symmetry_space_group_name_H-M 'P m -3 m'
_symmetry_Int_Tables_number 221
_symmetry_space_group_name_Hall '-P 4 2 3'
loop_
_atom_site_label
_atom_site_type_symbol
_atom_site_fract_x
_atom_site_fract_y
_atom_site_fract_z
Zn1 Zn 0.000 0.000 0.500
Hg1 Hg 0.500 0.500 0.500
P1 P 0.000 0.000 0.000
```


[4]
In6Ge2IrO8 | GGA-PBE | relaxed

volume = 15.95 Å³ per atom
uncorrected formation energy = -1.246 eV/atom

```
data_In6Ge2IrO8
_cell_length_a 10.275
_cell_length_b 10.275
_cell_length_c 10.275
_cell_angle_alpha 90.00
_cell_angle_beta 90.00
_cell_angle_gamma 90.00
_symmetry_space_group_name_H-M 'F m -3 m'
_symmetry_Int_Tables_number 225
_symmetry_space_group_name_Hall '-F 4 2 3'
loop_
_atom_site_label
_atom_site_type_symbol
_atom_site_fract_x
_atom_site_fract_y
_atom_site_fract_z
In1 In 0.000 0.000 0.250
Ge1 Ge 0.250 0.250 0.250
Ir1 Ir 0.000 0.000 0.000
O1 O 0.147 0.147 0.353
```